# 1
4
Lattice="4.024 0.000 0.000 0.000 4.024 0.058 0.000 -0.120 8.001" Properties=species:S:1:pos:R:3 comment="BaSb2Br | Alexandria | SCAN | PBEsol geometry" e_form_raw_ev_per_atom=-1.010 n_ef_per_ev_cell=0.86 m_tot_mub_per_cell=0.000 relative_energy_mev_per_atom=0 spacegroup="No. 6" pbc="T T T"
Sb 0.000 -0.002 0.528
Sb 2.012 1.994 1.663
Ba 0.000 3.954 4.211
Br 2.012 1.921 5.714

=====

# 2
4
Lattice="3.212 0.000 0.000 0.000 3.212 0.000 0.000 0.000 6.424" Properties=species:S:1:pos:R:3 comment="CrIn2Ir | Alexandria | SCAN | PBEsol geometry" n_ef_per_ev_cell=1.83 m_tot_mub_per_cell=3.190 relative_energy_mev_per_atom=4 spacegroup="No. 123" pbc="T T T"
Cr 1.606 1.606 3.212
In 0.000 0.000 4.826
In 0.000 0.000 1.598
Ir 1.606 1.606 0.000

=====

# 3
4
Lattice="-1.411 -0.089 2.118 1.412 -3.219 0.805 4.147 2.150 1.322" Properties=species:S:1:pos:R:3 comment="Be2CuMo | Alexandria | SCAN | PBEsol geometry" n_ef_per_ev_cell=1.82 m_tot_mub_per_cell=0.000 relative_energy_mev_per_atom=0 spacegroup="No. 38" pbc="T T T"
Be 1.395 1.240 2.512
Be 1.244 -0.893 2.322
Mo 3.586 0.152 2.395
Cu 0.632 0.387 0.437

=====

# 4
4
Lattice="3.092 0.000 0.000 0.000 3.102 -0.003 0.000 -0.894 5.967" Properties=species:S:1:pos:R:3 comment="ZnP2W | Alexandria | SCAN | PBEsol geometry" e_tot_ev_per_atom=-25.967 n_ef_per_ev_cell=1.01 m_tot_mub_per_cell=0.000 spacegroup="No. 10" pbc="T T T"
P 0.000 -0.456 4.308
P 0.000 2.664 1.657
W 1.546 1.104 2.982
Zn 1.546 1.551 -0.001

=====

# 5
5
Lattice="4.586 0.000 0.000 0.000 4.586 0.000 0.000 0.000 5.549" Properties=species:S:1:pos:R:3 comment="SnGeRh2I | Alexandria | SCAN | PBEsol geometry" e_form_raw_ev_per_atom=0.694 n_ef_per_ev_cell=3.67 m_tot_mub_per_cell=0.000 spacegroup="No. 123" pbc="T T T"
I 0.000 0.000 2.775
Ge 0.000 0.000 0.000
Rh 0.000 2.293 0.000
Rh 2.293 0.000 0.000
Sn 2.293 2.293 2.775

=====

# 6
5
Lattice="4.341 0.000 0.000 0.000 4.341 0.000 0.000 0.000 4.976" Properties=species:S:1:pos:R:3 comment="KSBrN2 | Alexandria | SCAN | PBEsol geometry" e_form_raw_ev_per_atom=1.545 n_ef_per_ev_cell=1.74 m_tot_mub_per_cell=3.111 spacegroup="No. 123" pbc="T T T"
K 2.171 2.171 2.488
S 0.000 0.000 2.488
Br 0.000 0.000 0.000
N 0.000 2.171 0.000
N 2.171 0.000 0.000

=====

# 7
4
Lattice="4.235 0.000 0.000 2.118 3.668 0.000 2.118 1.223 7.639" Properties=species:S:1:pos:R:3 comment="Ca2TaIr | Alexandria | SCAN | PBEsol geometry" n_ef_per_ev_cell=3.05 m_tot_mub_per_cell=0.115 relative_energy_mev_per_atom=0 spacegroup="No. 160" pbc="T T T"
Ca 6.353 3.668 0.680
Ca 6.353 3.668 4.892
Ir 4.235 2.445 3.039
Ta 2.118 1.223 2.674

=====

# 8
4
Lattice="-2.026 -0.090 1.739 -0.261 -3.703 -0.495 2.427 -0.545 2.800" Properties=species:S:1:pos:R:3 comment="BeCo2Si | Alexandria | SCAN | PBEsol geometry" e_form_raw_ev_per_atom=-0.543 n_ef_per_ev_cell=1.07 m_tot_mub_per_cell=0.122 relative_energy_mev_per_atom=50 spacegroup="No. 123" pbc="T T T"
Be -1.013 -0.045 0.869
Si 0.070 -2.169 2.022
Co 1.213 -0.272 1.400
Co -0.130 -1.852 -0.247

=====

# 9
4
Lattice="-0.668 1.767 2.338 0.985 -2.123 1.887 6.607 2.837 -0.256" Properties=species:S:1:pos:R:3 comment="Si2HgRu | Alexandria | SCAN | PBEsol geometry" e_form_raw_ev_per_atom=0.156 n_ef_per_ev_cell=1.63 m_tot_mub_per_cell=0.000 spacegroup="No. 99" pbc="T T T"
Hg 3.114 1.337 -0.121
Ru 1.353 0.335 2.066
Si 0.175 0.075 -0.007
Si 5.586 2.153 1.902

=====

# 10
40
Lattice="4.030 0.000 0.000 0.000 14.064 0.000 0.000 0.000 17.324" Properties=species:S:1:pos:R:3 comment="Sm3InSe6 | Alexandria | SCAN | PBEsol geometry" e_form_raw_ev_per_atom=-1.762 m_tot_mub_per_cell=0.000 spacegroup="No. 58" pbc="T T T"
Sm 2.015 10.538 10.487
Sm 2.015 3.526 6.837
Sm 0.000 3.506 15.499
Sm 0.000 10.559 1.825
Sm 2.015 13.488 13.435
Sm 2.015 0.577 3.889
Sm 0.000 6.456 12.551
Sm 0.000 7.609 4.773
Sm 2.015 2.633 11.183
Sm 2.015 11.431 6.141
Sm 0.000 9.665 14.803
Sm 0.000 4.399 2.521
In 2.015 7.032 8.662
In 0.000 0.000 0.000
In 2.015 7.032 0.000
In 0.000 0.000 8.662
Se 2.015 13.733 10.471
Se 2.015 0.331 6.853
Se 0.000 6.701 15.515
Se 0.000 7.364 1.809
Se 2.015 1.331 15.806
Se 2.015 12.733 1.518
Se 0.000 8.364 10.180
Se 0.000 5.701 7.144
Se 2.015 4.317 0.340
Se 2.015 9.747 16.984
Se 0.000 11.349 8.322
Se 0.000 2.715 9.002
Se 2.015 4.472 13.601
Se 2.015 9.592 3.723
Se 0.000 11.505 12.385
Se 0.000 2.560 4.939
Se 0.000 1.586 12.974
Se 0.000 12.478 4.350
Se 2.015 8.618 13.012
Se 2.015 5.446 4.312
Se 0.000 1.580 2.022
Se 0.000 12.485 15.302
Se 2.015 8.612 6.640
Se 2.015 5.453 10.684

=====

# 11
27
Lattice="-4.820 -3.269 4.917 7.498 -0.136 1.353 -0.620 7.139 4.139" Properties=species:S:1:pos:R:3 comment="TiNb6Tl2O18 | Alexandria | SCAN | PBEsol geometry" e_form_raw_ev_per_atom=-2.611 n_ef_per_ev_cell=0.00 m_tot_mub_per_cell=0.000 spacegroup="No. 12" pbc="T T T"
Ti -0.323 3.561 2.083
Nb 2.498 3.752 7.917
Nb 4.898 5.379 5.470
Nb 1.164 5.449 4.797
Nb -0.467 -0.036 2.518
Nb -2.866 -1.663 4.966
Nb 0.867 -1.733 5.639
Tl 3.218 0.663 3.634
Tl -1.191 3.050 6.807
O 3.105 5.580 4.740
O 1.435 4.449 6.444
O 4.034 4.398 6.911
O -1.073 -1.865 5.695
O 0.596 -0.732 3.992
O -2.003 -0.682 3.524
O 2.525 1.935 7.586
O 5.619 4.035 4.430
O 0.805 4.124 3.563
O -0.492 1.781 2.848
O -3.587 -0.317 6.005
O 1.227 -0.407 6.872
O -0.878 5.450 5.335
O -3.626 3.586 8.139
O 0.652 3.507 8.911
O 2.909 -1.734 5.100
O 5.657 0.130 2.297
O 1.380 0.209 1.525

=====

# 12
8
Lattice="-5.563 -0.667 -1.026 0.521 -5.612 0.823 -1.107 0.709 5.542" Properties=species:S:1:pos:R:3 comment="Te3Rh | Alexandria | SCAN | PBEsol geometry" e_form_raw_ev_per_atom=0.620 n_ef_per_ev_cell=6.02 m_tot_mub_per_cell=0.000 spacegroup="No. 223" pbc="T T T"
Rh 0.000 0.000 0.000
Rh -3.075 -2.785 2.670
Te -3.912 -3.307 -0.358
Te -1.130 -2.973 0.155
Te -0.163 -3.855 3.388
Te -0.423 -1.048 2.977
Te -3.058 -0.156 0.873
Te -3.612 0.198 3.644